TbY4Ho4: relaxed, GGA-PBE.

Summary:
Formation energy from the elements ... 24 meV per atom
Final energy ... -5.40 eV per atom
Crystal system ... monoclinic
SG ... C2/m

Unit cell a=5.018 b=6.147 c=13.743 alpha=121.45 beta=79.48 gamma=65.91
Fractional positions:
Tb1 0.500 0.000 0.000
Y1 0.165 0.336 0.334
Y2 0.835 0.664 0.666
Y3 0.945 0.221 0.889
Y4 0.055 0.779 0.111
Ho1 0.609 0.559 0.223
Ho2 0.722 0.111 0.445
Ho3 0.391 0.441 0.777
Ho4 0.278 0.889 0.555